# PmHoCuOs

A relaxed structure of PmHoCuOs (PBE, the Alexandria database).

Properties
M_tot = 0.00 Bohr magnetons per cell
Symmetry = F-43m, No. 216
E_form = -4.2 kcal/mol of atoms
Volume = 83.5 Å³/f.u.
Energy = -25.39 eV/cell

Unit cell a=4.9060 b=4.9060 c=4.9060 alpha=60.00 beta=60.00 gamma=60.00
Atoms (fractional coordinates):
Pm  0.0000  0.0000  0.0000
Ho  0.5000  0.5000  0.5000
Cu  0.7500  0.7500  0.7500
Os  0.2500  0.2500  0.2500

# KSnBi2

A relaxed structure of KSnBi2 (PBE, the Alexandria database).

Properties
M_tot = 0.00 Bohr magnetons per cell
Symmetry = C2/c, No. 15
E_form = -4.2 kcal/mol of atoms
Volume = 150.1 Å³/f.u.
Energy = -27.18 eV/cell

Unit cell a=7.6902 b=7.6902 c=6.9690 alpha=101.76 beta=101.76 gamma=125.55
Atoms (fractional coordinates):
K  0.1300  0.8700  0.7500
K  0.8700  0.1300  0.2500
Sn  0.2624  0.7376  0.2500
Sn  0.7376  0.2624  0.7500
Bi  0.2489  0.4468  0.8586
Bi  0.4468  0.2489  0.3586
Bi  0.5532  0.7511  0.6414
Bi  0.7511  0.5532  0.1414

# La2Pr3Hg3

A relaxed structure of La2Pr3Hg3 (PBE, the Alexandria database).

Properties
M_tot = 0.05 Bohr magnetons per cell
Symmetry = Immm, No. 71
E_form = -8.0 kcal/mol of atoms
Volume = 248.3 Å³/f.u.
Energy = -27.86 eV/cell

Unit cell a=11.9345 b=11.9345 c=11.9345 alpha=161.16 beta=153.08 gamma=33.07
Atoms (fractional coordinates):
La  0.2328  0.2328  0.0000
La  0.7672  0.7672  0.0000
Pr  0.0000  0.0000  0.0000
Pr  0.3807  0.8807  0.5000
Pr  0.6193  0.1193  0.5000
Hg  0.1170  0.6170  0.5000
Hg  0.5000  0.5000  0.0000
Hg  0.8830  0.3830  0.5000

# Ho4SbPd

A relaxed structure of Ho4SbPd (PBE, the Alexandria database).

Properties
M_tot = 0.00 Bohr magnetons per cell
Symmetry = Cmcm, No. 63
Formation energy (no corrections) = -513 meV/atom
Volume = 171.7 Å³/f.u.
Energy = -61.41 eV/cell
Polymorph energy (0 for the lowest one) = 141 meV/atom

Unit cell a=10.4360 b=10.4360 c=6.3029 alpha=90.00 beta=90.00 gamma=149.98
Atoms (fractional coordinates):
Ho  0.0525  0.9475  0.7500
Ho  0.2019  0.7981  0.5021
Ho  0.2019  0.7981  0.9979
Ho  0.3877  0.6123  0.7500
Ho  0.6123  0.3877  0.2500
Ho  0.7981  0.2019  0.0021
Ho  0.7981  0.2019  0.4979
Ho  0.9475  0.0525  0.2500
Sb  0.3471  0.6529  0.2500
Sb  0.6529  0.3471  0.7500
Pd  0.0822  0.9178  0.2500
Pd  0.9178  0.0822  0.7500

# SrGeTe2

A relaxed structure of SrGeTe2 (PBE, the Alexandria database).

Properties
M_tot = 0.00 Bohr magnetons per cell
Symmetry = C2, No. 5
Formation energy (no corrections) = -768 meV/atom
Volume = 160.7 Å³/f.u.
Energy = -31.31 eV/cell

Unit cell a=8.3703 b=8.3703 c=8.6698 alpha=100.53 beta=100.53 gamma=32.61
Atoms (fractional coordinates):
Sr  0.0000  0.0000  0.0000
Sr  0.5737  0.4263  0.5000
Ge  0.3046  0.1978  0.9244
Ge  0.8022  0.6954  0.0756
Te  0.1809  0.0371  0.7141
Te  0.3781  0.3854  0.7889
Te  0.6146  0.6219  0.2111
Te  0.9629  0.8191  0.2859

# TmThOs

A relaxed structure of TmThOs (PBE, the Alexandria database).

Properties
M_tot = 0.00 Bohr magnetons per cell
Symmetry = F-43m, No. 216
E_form = -5.8 kcal/mol of atoms
Volume = 80.5 Å³/f.u.
Energy = -23.87 eV/cell
Polymorph energy (0 for the lowest one) = 46 meV/atom

Unit cell a=4.8469 b=4.8469 c=4.8469 alpha=60.00 beta=60.00 gamma=60.00
Atoms (fractional coordinates):
Tm  0.0000  0.0000  0.0000
Th  0.5000  0.5000  0.5000
Os  0.2500  0.2500  0.2500

# Pa2Sn2PRu4

A relaxed structure of Pa2Sn2PRu4 (PBE, the Alexandria database).

Properties
M_tot = 0.00 Bohr magnetons per cell
Symmetry = I4/mmm, No. 139
E_form = -5.1 kcal/mol of atoms
Volume = 174.7 Å³/f.u.
Energy = -71.50 eV/cell

Unit cell a=6.2710 b=6.2710 c=6.2710 alpha=119.89 beta=119.89 gamma=90.18
Atoms (fractional coordinates):
Pa  0.1986  0.1986  0.0000
Pa  0.8014  0.8014  0.0000
Sn  0.2500  0.7500  0.5000
Sn  0.7500  0.2500  0.5000
P  0.5000  0.5000  0.0000
Ru  0.2356  0.2356  0.4712
Ru  0.2356  0.7644  0.0000
Ru  0.7644  0.2356  0.0000
Ru  0.7644  0.7644  0.5288

# KAs2W2

A relaxed structure of KAs2W2 (PBE, the Alexandria database).

Properties
M_tot = 0.00 Bohr magnetons per cell
Symmetry = I4/mmm, No. 139
E_form = -3.6 kcal/mol of atoms
Volume = 114.5 Å³/f.u.
Energy = -37.08 eV/cell
Polymorph energy (0 for the lowest one) = 0 meV/atom

Unit cell a=8.3280 b=8.3280 c=8.3280 alpha=153.54 beta=153.54 gamma=37.77
Atoms (fractional coordinates):
K  0.0000  0.0000  0.0000
As  0.3656  0.3656  0.0000
As  0.6344  0.6344  0.0000
W  0.2500  0.7500  0.5000
W  0.7500  0.2500  0.5000

Q: What is the formula in the eighth record?
A: KAs2W2

Q: Which formula does entry 5 have?
A: SrGeTe2

Q: Number 7 is which compound?
A: Pa2Sn2PRu4